1.
DFT (PBE) results for Gd3Ho after structural relaxation.

Cell and atoms, written as CIF:
```
data_Gd3Ho
_cell_length_a 5.050
_cell_length_b 5.050
_cell_length_c 10.056
_cell_angle_alpha 90.00
_cell_angle_beta 90.00
_cell_angle_gamma 90.00
_symmetry_space_group_name_H-M 'I 4/m m m'
_symmetry_Int_Tables_number 139
_symmetry_space_group_name_Hall '-I 4 2'
loop_
_atom_site_label
_atom_site_fract_x
_atom_site_fract_y
_atom_site_fract_z
Gd1 0.000 0.000 0.000
Gd2 0.000 0.500 0.250
Ho1 0.000 0.000 0.500
```

Results
Energy of formation in eV/atom: 0.04
Volume in Å³ per atom: 32.1
DOS at the Fermi energy in states/eV/f.u.: 7.65
Energy above the most stable polymorph in this dataset in meV per atom: 38

***

2.
DFT (PBE) results for GdHo3 after structural relaxation.

Cell and atoms, written as CIF:
```
data_GdHo3
_cell_length_a 3.604
_cell_length_b 11.308
_cell_length_c 6.246
_cell_angle_alpha 90.00
_cell_angle_beta 90.00
_cell_angle_gamma 90.00
_symmetry_space_group_name_H-M 'I m m 2'
_symmetry_Int_Tables_number 44
loop_
_symmetry_equiv_pos_as_xyz
'x,y,z'
'-x,-y,z'
'-x,y,z'
'x,-y,z'
'x+1/2,y+1/2,z+1/2'
'-x+1/2,-y+1/2,z+1/2'
'-x+1/2,y+1/2,z+1/2'
'x+1/2,-y+1/2,z+1/2'
loop_
_atom_site_label
_atom_site_fract_x
_atom_site_fract_y
_atom_site_fract_z
Gd1 0.000 0.000 0.000
Ho1 0.000 0.247 0.336
Ho2 0.000 0.500 0.002
```

Results
Energy of formation in eV/atom: 0.00
Volume in Å³ per atom: 31.8
DOS at the Fermi energy in states/eV/f.u.: 7.43
Energy above the most stable polymorph in this dataset in meV per atom: 0

***

3.
DFT (PBE) results for GdHo2I after structural relaxation.

Cell and atoms, written as CIF:
```
data_GdHo2I
_cell_length_a 3.7276
_cell_length_b 3.7276
_cell_length_c 31.3509
_cell_angle_alpha 90.00
_cell_angle_beta 90.00
_cell_angle_gamma 120.00
_symmetry_space_group_name_H-M 'R -3 m'
_symmetry_Int_Tables_number 166
_symmetry_space_group_name_Hall '-R 3 2"'
loop_
_atom_site_label
_atom_site_fract_x
_atom_site_fract_y
_atom_site_fract_z
Gd1 0.0000 0.0000 0.0000
Ho1 0.0000 0.0000 0.2454
I1 0.0000 0.0000 0.5000
```

Results
Raw formation energy in meV/atom: -330.6
Volume in Å³ per atom: 31.4
DOS at the Fermi energy in states/eV/f.u.: 4.72

***

4.
DFT (PBE) results for GdHoI2 after structural relaxation.

Cell and atoms, written as CIF:
```
data_GdHoI2
_cell_length_a 3.8673
_cell_length_b 3.8673
_cell_length_c 31.9870
_cell_angle_alpha 90.00
_cell_angle_beta 90.00
_cell_angle_gamma 120.00
_symmetry_space_group_name_H-M 'R -3 m'
_symmetry_Int_Tables_number 166
_symmetry_space_group_name_Hall '-R 3 2"'
loop_
_atom_site_label
_atom_site_fract_x
_atom_site_fract_y
_atom_site_fract_z
Gd1 0.0000 0.0000 0.0000
Ho1 0.0000 0.0000 0.5000
I1 0.0000 0.0000 0.4035
```

Results
Raw formation energy in meV/atom: -652.0
Volume in Å³ per atom: 34.5
DOS at the Fermi energy in states/eV/f.u.: 4.10

***

5.
DFT (PBE) results for GdHo2In after structural relaxation.

Cell and atoms, written as CIF:
```
data_GdHo2In
_cell_length_a 4.854
_cell_length_b 4.854
_cell_length_c 4.808
_cell_angle_alpha 90.00
_cell_angle_beta 90.00
_cell_angle_gamma 90.00
_symmetry_space_group_name_H-M 'P 4/m m m'
_symmetry_Int_Tables_number 123
_symmetry_space_group_name_Hall '-P 4 2'
loop_
_atom_site_label
_atom_site_fract_x
_atom_site_fract_y
_atom_site_fract_z
Gd1 0.000 0.000 0.000
Ho1 0.000 0.500 0.500
In1 0.500 0.500 0.000
```

Results
Energy of formation in eV/atom: -0.28
Volume in Å³ per atom: 28.3
DOS at the Fermi energy in states/eV/f.u.: 4.33
Energy above the most stable polymorph in this dataset in meV per atom: 0

***

6.
DFT (PBE) results for Gd2HoIn after structural relaxation.

Cell and atoms, written as CIF:
```
data_Gd2HoIn
_cell_length_a 3.588
_cell_length_b 3.588
_cell_length_c 9.284
_cell_angle_alpha 90.00
_cell_angle_beta 90.00
_cell_angle_gamma 90.00
_symmetry_space_group_name_H-M 'P 4/m m m'
_symmetry_Int_Tables_number 123
_symmetry_space_group_name_Hall '-P 4 2'
loop_
_atom_site_label
_atom_site_fract_x
_atom_site_fract_y
_atom_site_fract_z
Gd1 0.000 0.000 0.229
Ho1 0.500 0.500 0.500
In1 0.500 0.500 0.000
```

Results
Energy of formation in eV/atom: -0.22
Volume in Å³ per atom: 29.9
DOS at the Fermi energy in states/eV/f.u.: 5.58
Energy above the most stable polymorph in this dataset in meV per atom: 70

***

7.
DFT (PBE) results for GdHo2In after structural relaxation.

Cell and atoms, written as CIF:
```
data_GdHo2In
_cell_length_a 7.680
_cell_length_b 7.680
_cell_length_c 7.680
_cell_angle_alpha 90.00
_cell_angle_beta 90.00
_cell_angle_gamma 90.00
_symmetry_space_group_name_H-M 'F m -3 m'
_symmetry_Int_Tables_number 225
_symmetry_space_group_name_Hall '-F 4 2 3'
loop_
_atom_site_label
_atom_site_fract_x
_atom_site_fract_y
_atom_site_fract_z
Gd1 0.000 0.000 0.000
Ho1 0.250 0.250 0.250
In1 0.000 0.000 0.500
```

Results
Energy of formation in eV/atom: -0.13
Volume in Å³ per atom: 28.3
DOS at the Fermi energy in states/eV/f.u.: 6.98
Energy above the most stable polymorph in this dataset in meV per atom: 142

***

8.
DFT (PBE) results for Gd2HoIn after structural relaxation.

Cell and atoms, written as CIF:
```
data_Gd2HoIn
_cell_length_a 4.837
_cell_length_b 4.837
_cell_length_c 4.902
_cell_angle_alpha 90.00
_cell_angle_beta 90.00
_cell_angle_gamma 90.00
_symmetry_space_group_name_H-M 'P 4/m m m'
_symmetry_Int_Tables_number 123
_symmetry_space_group_name_Hall '-P 4 2'
loop_
_atom_site_label
_atom_site_fract_x
_atom_site_fract_y
_atom_site_fract_z
Gd1 0.000 0.500 0.000
Ho1 0.000 0.000 0.500
In1 0.500 0.500 0.500
```

Results
Energy of formation in eV/atom: -0.29
Volume in Å³ per atom: 28.7
DOS at the Fermi energy in states/eV/f.u.: 3.26
Energy above the most stable polymorph in this dataset in meV per atom: 0

***

9.
DFT (PBE) results for Gd2HoIn after structural relaxation.

Cell and atoms, written as CIF:
```
data_Gd2HoIn
_cell_length_a 7.730
_cell_length_b 7.730
_cell_length_c 7.730
_cell_angle_alpha 90.00
_cell_angle_beta 90.00
_cell_angle_gamma 90.00
_symmetry_space_group_name_H-M 'F m -3 m'
_symmetry_Int_Tables_number 225
_symmetry_space_group_name_Hall '-F 4 2 3'
loop_
_atom_site_label
_atom_site_fract_x
_atom_site_fract_y
_atom_site_fract_z
Gd1 0.250 0.250 0.250
Ho1 0.000 0.000 0.000
In1 0.000 0.000 0.500
```

Results
Energy of formation in eV/atom: -0.17
Volume in Å³ per atom: 28.9
DOS at the Fermi energy in states/eV/f.u.: 4.47
Energy above the most stable polymorph in this dataset in meV per atom: 123

***

10.
DFT (PBE) results for GdHo2In after structural relaxation.

Cell and atoms, written as CIF:
```
data_GdHo2In
_cell_length_a 3.576
_cell_length_b 3.576
_cell_length_c 9.161
_cell_angle_alpha 90.00
_cell_angle_beta 90.00
_cell_angle_gamma 90.00
_symmetry_space_group_name_H-M 'P 4/m m m'
_symmetry_Int_Tables_number 123
_symmetry_space_group_name_Hall '-P 4 2'
loop_
_atom_site_label
_atom_site_fract_x
_atom_site_fract_y
_atom_site_fract_z
Gd1 0.000 0.000 0.000
Ho1 0.500 0.500 0.275
In1 0.000 0.000 0.500
```

Results
Energy of formation in eV/atom: -0.23
Volume in Å³ per atom: 29.3
DOS at the Fermi energy in states/eV/f.u.: 4.29
Energy above the most stable polymorph in this dataset in meV per atom: 50

***

11.
DFT (PBE) results for Gd2HoIn after structural relaxation.

Cell and atoms, written as CIF:
```
data_Gd2HoIn
_cell_length_a 3.5056
_cell_length_b 3.5056
_cell_length_c 36.2907
_cell_angle_alpha 90.00
_cell_angle_beta 90.00
_cell_angle_gamma 120.00
_symmetry_space_group_name_H-M 'R -3 m'
_symmetry_Int_Tables_number 166
_symmetry_space_group_name_Hall '-R 3 2"'
loop_
_atom_site_label
_atom_site_fract_x
_atom_site_fract_y
_atom_site_fract_z
Gd1 0.0000 0.0000 0.0885
Ho1 0.0000 0.0000 0.5000
In1 0.0000 0.0000 0.0000
```

Results
Energy of formation in eV/atom: 0.09
Volume in Å³ per atom: 32.2
DOS at the Fermi energy in states/eV/f.u.: 4.24
Energy above the most stable polymorph in this dataset in meV per atom: 386

***

12.
DFT (PBE) results for GdHoLuIn after structural relaxation.

Cell and atoms, written as CIF:
```
data_GdHoLuIn
_cell_length_a 7.661
_cell_length_b 7.661
_cell_length_c 7.661
_cell_angle_alpha 90.00
_cell_angle_beta 90.00
_cell_angle_gamma 90.00
_symmetry_space_group_name_H-M 'F -4 3 m'
_symmetry_Int_Tables_number 216
_symmetry_space_group_name_Hall 'F -4 2 3'
loop_
_atom_site_label
_atom_site_fract_x
_atom_site_fract_y
_atom_site_fract_z
Gd1 0.000 0.000 0.000
Ho1 0.000 0.000 0.500
Lu1 0.250 0.250 0.250
In1 0.250 0.250 0.750
```

Results
Energy of formation in eV/atom: -0.16
Volume in Å³ per atom: 28.1
DOS at the Fermi energy in states/eV/f.u.: 5.56